Record 1
Here is BPd3Pt after structural relaxation from Alexandria. Energies are from PBE-GGA.

a = 6.0342 Å, b = 5.8379 Å, c = 5.7735 Å
α = 60.01°, β = 90.00°, γ = 121.12°
Fractional positions:
Pd 0.7104 0.9842 0.2572
Pd 0.2106 0.9842 0.2572
B 0.9683 0.5000 0.0000
Pd 0.7262 0.0158 0.7428
Pt 0.2180 0.4994 0.2509
B 0.4683 0.5000 0.0000
Pd 0.2183 0.5000 0.7385
Pd 0.7184 0.5000 0.2615
Pt 0.7186 0.5006 0.7491
Pd 0.2263 0.0158 0.7428

Calculated values
SG: C2/m (12)
E above lowest polymorph in kJ per mole of atoms: 0.1
Crystal system: monoclinic

***

Record 2
Here is B4Pd2Pt5 after structural relaxation from Alexandria. Energies are from PBE-GGA.

a = 5.4323 Å, b = 5.2251 Å, c = 6.5620 Å
α = 80.84°, β = 65.55°, γ = 58.68°
Fractional positions:
Pt 0.1986 0.2371 0.8644
B 0.2470 0.3653 0.1406
B 0.7530 0.6347 0.8594
Pt 0.6999 0.2371 0.8644
Pd 0.2992 0.7937 0.6080
Pd 0.7008 0.2063 0.3920
Pt 0.8014 0.7629 0.1356
B 0.6908 0.9536 0.6647
Pt 0.0000 0.5000 0.5000
Pt 0.3001 0.7629 0.1356
B 0.3092 0.0464 0.3353

Calculated values
SG: C2/m (12)
Crystal system: monoclinic

***

Record 3
Here is B2PdPt4 after structural relaxation from Alexandria. Energies are from PBE-GGA.

a = 5.4526 Å, b = 5.4276 Å, c = 7.7096 Å
α = 112.25°, β = 111.01°, γ = 87.38°
Fractional positions:
Pd 0.2140 0.2147 0.9999
Pt 0.8136 0.5029 0.1007
Pt 0.8698 0.6992 0.8149
Pt 0.3602 0.6993 0.3109
B 0.6260 0.8747 0.2507
Pd 0.0360 0.5353 0.5000
Pt 0.4068 0.7134 0.8974
B 0.6249 0.3750 0.2499
B 0.1251 0.3750 0.7500
B 0.6241 0.3753 0.7494
Pt 0.8432 0.0366 0.6026
Pt 0.8896 0.0507 0.1889
Pt 0.3804 0.0507 0.6852
Pt 0.4364 0.2471 0.3993

Calculated values
SG: P1 (1)
E above lowest polymorph in kJ per mole of atoms: 4.3
Crystal system: triclinic

***

Record 4
Here is BPdPt3 after structural relaxation from Alexandria. Energies are from PBE-GGA.

a = 4.8543 Å, b = 4.8543 Å, c = 4.8543 Å
α = 90.00°, β = 90.00°, γ = 90.00°
Fractional positions:
B 0.5000 0.5000 0.5000
Pd 0.0000 0.0000 0.0000
Pt 0.0000 0.5000 0.0000
Pt 0.5000 0.0000 0.0000
Pt 0.0000 0.0000 0.5000

Calculated values
SG: Pm-3m (221)
E above lowest polymorph in kJ per mole of atoms: 231.3
Crystal system: cubic

***

Record 5
Here is BPdPt after structural relaxation from Alexandria. Energies are from PBE-GGA.

a = 5.4911 Å, b = 5.6594 Å, c = 5.6248 Å
α = 90.00°, β = 90.00°, γ = 119.02°
Fractional positions:
Pt 0.7892 0.0785 0.2500
B 0.4005 0.8009 0.4407
B 0.0995 0.1991 0.9407
B 0.5995 0.1991 0.5593
B 0.9005 0.8009 0.0593
Pt 0.2108 0.9215 0.7500
Pt 0.7108 0.9215 0.7500
Pd 0.7068 0.4137 0.9057
Pd 0.2932 0.5863 0.0943
Pd 0.2068 0.4137 0.5943
Pd 0.7932 0.5863 0.4057
Pt 0.2892 0.0785 0.2500

Calculated values
SG: Cmce (64)
Crystal system: orthorhombic

***

Record 6
Here is BPdPt after structural relaxation from Alexandria. Energies are from PBE-GGA.

a = 4.3990 Å, b = 3.2451 Å, c = 3.2451 Å
α = 120.00°, β = 90.00°, γ = 90.00°
Fractional positions:
Pt 0.0949 0.0000 0.0000
B 0.3158 0.6667 0.3333
Pd 0.5893 0.3333 0.6667

Calculated values
SG: P3m1 (156)
Crystal system: trigonal

***

Record 7
Here is BPdPt after structural relaxation from Alexandria. Energies are from PBE-GGA.

a = 3.8090 Å, b = 3.8090 Å, c = 3.8090 Å
α = 60.00°, β = 60.00°, γ = 60.00°
Fractional positions:
B 0.2500 0.2500 0.2500
Pt 0.5000 0.5000 0.5000
Pd 0.0000 0.0000 0.0000

Calculated values
SG: F-43m (216)
Crystal system: cubic

***

Record 8
Here is B2PdPt2 after structural relaxation from Alexandria. Energies are from PBE-GGA.

a = 3.0999 Å, b = 3.0999 Å, c = 6.9224 Å
α = 77.06°, β = 77.06°, γ = 90.00°
Fractional positions:
B 0.7500 0.2500 0.5000
Pt 0.3611 0.3611 0.2778
Pt 0.6389 0.6389 0.7222
B 0.2500 0.7500 0.5000
Pd 0.0000 0.0000 0.0000

Calculated values
SG: I4/mmm (139)
E above lowest polymorph in kJ per mole of atoms: 5.6
Crystal system: tetragonal

***

| no. | magnetic moment (μB/cell) | Fermi-level density of states (states/eV/f.u.) | DFT formation energy (eV per atom) |
| --- | --- | --- | --- |
| 1 | 0.00 | 1.80 | -0.23 |
| 2 | 0.00 | 3.44 | -0.08 |
| 3 | 0.00 | 3.64 | -0.10 |
| 4 | 0.00 | 9.92 | 2.23 |
| 5 | 0.00 | 0.74 | -0.18 |
| 6 | 0.00 | 1.65 | -0.20 |
| 7 | 0.00 | 0.29 | -0.18 |
| 8 | 0.00 | 1.58 | -0.15 |